The following is a PBE calculation of UH3Br6 after structural relaxation, from Alexandria via LeMat-Bulk.

a = 7.633 Å, b = 7.633 Å, c = 6.708 Å
α = 105.29°, β = 105.29°, γ = 60.93°
Sites, in units of the cell vectors:
U  0.000  0.000  0.000
H  0.304  0.304  0.776
H  0.500  0.500  0.500
H  0.696  0.696  0.224
Br  0.157  0.675  0.180
Br  0.174  0.174  0.327
Br  0.325  0.843  0.820
Br  0.675  0.157  0.180
Br  0.826  0.826  0.673
Br  0.843  0.325  0.820

**E_tot**: -3.2401 eV per atom
**Magnetic moment**: 3.04 μB per formula unit
**D(E_F)**: 0.007 states/eV per atom
**Space-group type**: C2/m, No. 12